# 1
Material: Na3CaGa
Method: DFT, meta-GGA SCAN
State: single point on PBEsol structure

```
5
Lattice="6.218 0.000 0.000 0.000 6.218 0.000 0.000 0.000 6.218" Properties=species:S:1:pos:R:3 pbc="T T T"
Ga 3.109 3.109 3.109
Na 0.000 0.000 3.109
Na 3.109 0.000 0.000
Na 0.000 3.109 0.000
Ca 0.000 0.000 0.000
```

Output
The space-group type is Pm-3m. The value obtained for the density of states at the Fermi level is 3.6 states/eV per cell. The total energy is -34.47 eV per cell. As for the formation energy: 0.8363 eV/atom.

---

# 2
Material: Ca4NbGaO8
Method: DFT, meta-GGA SCAN
State: single point on PBEsol structure

```
56
Lattice="-4.308 3.103 -1.749 -6.260 -9.223 -0.947 -1.558 4.405 11.652" Properties=species:S:1:pos:R:3 pbc="T T T"
Ca -3.011 1.545 6.089
Ca -3.241 3.133 9.455
Ca -8.482 0.318 8.453
Ca -6.786 -0.223 3.013
Ca -6.350 1.835 5.876
Ca -8.884 -4.848 -0.498
Ca -5.554 -5.130 -0.289
Ca -9.115 -3.260 2.867
Ca -7.361 -4.580 5.934
Ca -10.740 -2.600 8.347
Ca -5.775 -3.550 3.081
Ca -4.764 2.864 3.023
Ca -5.340 -1.492 5.943
Ca -3.643 -2.033 0.504
Ca -6.571 3.415 9.245
Ca -1.385 0.884 0.609
Ga -7.172 -1.969 0.086
Ga -7.635 -6.322 2.436
Ga -4.953 0.254 8.870
Ga -4.490 4.607 6.520
O -7.052 -3.498 -0.934
O -8.085 -4.449 8.972
O -6.797 -5.483 3.846
O -7.372 -2.674 4.694
O -7.324 -2.311 1.871
O -9.074 -0.747 3.553
O -10.085 -2.943 4.997
O -4.321 -4.039 1.290
O -3.051 -0.968 5.403
O -3.496 0.295 1.640
O -3.202 0.248 -1.002
O -4.754 0.959 4.262
O -10.713 0.026 8.782
O -6.538 -0.757 9.073
O -1.413 -1.742 0.174
O -5.329 3.768 5.110
O -9.056 -5.283 1.813
O -7.265 -0.168 5.614
O -6.180 1.451 1.371
O -4.860 -1.547 3.342
O -8.629 -2.010 7.317
O -4.801 0.596 7.085
O -5.587 -0.958 -0.117
O -2.041 1.228 3.959
O -6.510 -6.680 1.046
O -8.924 -1.963 9.958
O -3.070 3.568 7.143
O -5.945 -3.167 7.585
O -5.615 4.965 7.910
O -7.805 2.324 7.666
O -5.073 1.783 9.891
O -4.040 2.734 -0.016
Nb -8.675 -1.423 5.376
Nb -7.391 -2.678 8.920
Nb -3.450 -0.292 3.581
Nb -4.734 0.963 0.036
```

Output
Its uncorrected formation energy is -2.996 eV/atom. The space-group type is P2_1/c. The value obtained for the density of states at the Fermi level is 0.0 states/eV per cell. The total energy is -719.71 eV per cell.

---

# 3
Material: Ca2TiNbGa
Method: DFT, meta-GGA SCAN
State: single point on PBEsol structure

```
5
Lattice="-3.035 2.915 -2.396 2.166 -1.513 -4.586 -3.509 -3.946 -0.355" Properties=species:S:1:pos:R:3 pbc="T T T"
Ca -1.754 -1.973 -0.178
Ca 1.083 -0.757 -2.293
Nb -2.189 -1.272 -3.668
Ga -1.518 1.457 -1.198
Ti 0.000 0.000 0.000
```

Output
The space-group type is P4/mmm. The value obtained for the density of states at the Fermi level is 5.4 states/eV per cell. The total energy is -79.20 eV per cell. As for the formation energy: 1.1259 eV/atom.

---

# 4
Material: CaZrNbGa2
Method: DFT, meta-GGA SCAN
State: single point on PBEsol structure

```
5
Lattice="5.034 0.000 0.000 0.000 5.034 0.000 0.000 0.000 5.115" Properties=species:S:1:pos:R:3 pbc="T T T"
Ca 0.000 0.000 2.557
Nb 2.517 2.517 2.557
Ga 0.000 2.517 0.000
Ga 2.517 0.000 0.000
Zr 0.000 0.000 0.000
```

Output
The space-group type is P4/mmm. The value obtained for the density of states at the Fermi level is 4.1 states/eV per cell. The total energy is -100.35 eV per cell. As for the formation energy: 1.1663 eV/atom.

---

# 5
Material: CaNdGaO4
Method: DFT, meta-GGA SCAN
State: single point on PBEsol structure

```
14
Lattice="-4.696 -1.012 2.262 2.176 -4.314 2.589 3.812 4.009 3.476" Properties=species:S:1:pos:R:3 pbc="T T T"
Ca 1.195 2.709 3.691
Ca -0.922 -2.004 3.422
Ga 1.826 -0.374 3.624
Ga 0.547 -3.084 5.987
O 1.259 -1.616 4.980
O -0.060 -4.007 4.315
O 1.437 -1.849 2.157
O -2.284 -0.221 4.480
O 3.587 -1.115 3.858
O 2.191 1.028 5.009
O 0.044 0.280 3.358
O -0.992 2.211 5.161
Nd -0.154 0.142 5.975
Nd 2.462 -3.471 3.559
```

Output
Its uncorrected formation energy is -2.992 eV/atom. The space-group type is Cmc2_1. The value obtained for the density of states at the Fermi level is 0.0 states/eV per cell. The total energy is -230.92 eV per cell.

---

# 6
Material: Ca2GaNi2
Method: DFT, meta-GGA SCAN
State: single point on PBEsol structure

```
5
Lattice="-0.328 3.193 -4.045 -2.548 -4.481 -0.305 -2.283 1.489 4.386" Properties=species:S:1:pos:R:3 pbc="T T T"
Ni -1.617 -1.001 1.366
Ni -3.214 -1.990 2.714
Ca -2.646 -1.392 -1.155
Ca -2.514 1.593 1.190
Ga 0.000 0.000 0.000
```

Output
The space-group type is I4/mmm. The value obtained for the density of states at the Fermi level is 3.1 states/eV per cell. The total energy is -68.36 eV per cell. As for the formation energy: -0.0683 eV/atom.

---

# 7
Material: CaGa3Ni2
Method: DFT, meta-GGA SCAN
State: single point on PBEsol structure

```
12
Lattice="-2.281 0.582 4.501 -4.720 -3.517 -1.937 3.840 -4.181 2.486" Properties=species:S:1:pos:R:3 pbc="T T T"
Ni -2.920 -3.657 -1.007
Ni 0.899 -3.751 3.807
Ni -4.061 -3.366 1.244
Ni 2.040 -4.041 1.556
Ga -3.956 -4.999 2.941
Ga -2.547 -6.875 3.897
Ga -0.615 -0.242 1.153
Ga -2.424 -1.868 0.446
Ga -0.737 -5.249 4.604
Ga 0.795 -2.118 2.109
Ca -1.148 -4.902 1.485
Ca -2.014 -2.215 3.565
```

Output
The space-group type is Cmcm. The value obtained for the density of states at the Fermi level is 5.2 states/eV per cell. The total energy is -188.76 eV per cell. As for the formation energy: -0.5551 eV/atom.

---

# 8
Material: CaGaO2
Method: DFT, meta-GGA SCAN
State: single point on PBEsol structure

```
4
Lattice="-2.675 -1.337 -1.822 0.319 -3.131 -1.537 -2.830 -4.117 3.810" Properties=species:S:1:pos:R:3 pbc="T T T"
O -2.214 -3.326 2.326
O -2.972 -5.258 -1.876
Ca -2.593 -4.292 0.225
Ga 0.000 0.000 0.000
```

Output
Its uncorrected formation energy is -2.099 eV/atom. The space-group type is R-3m. The value obtained for the density of states at the Fermi level is 1.2 states/eV per cell. The total energy is -46.87 eV per cell.

---

# 9
Material: Ca3Ga4O9
Method: DFT, meta-GGA SCAN
State: single point on PBEsol structure

```
48
Lattice="5.301 0.000 0.000 0.000 11.026 0.002 0.000 -1.723 10.891" Properties=species:S:1:pos:R:3 pbc="T T T"
O 3.525 3.703 0.740
O 1.189 5.148 8.221
O 0.801 9.386 8.679
O 3.525 9.151 7.120
O 3.405 8.073 4.418
O 1.189 7.314 6.371
O 3.891 3.654 4.278
O 3.188 0.243 9.211
O 0.801 7.103 10.629
O 3.517 0.953 1.115
O 0.801 2.199 0.264
O 0.706 1.743 7.930
O 0.706 7.559 2.963
O 3.188 9.059 1.682
O 3.517 8.350 9.778
O 3.891 5.649 6.614
O 3.405 6.203 2.228
O 3.525 0.151 3.773
O 3.525 5.600 10.153
O 1.275 5.513 0.001
O 1.189 1.988 4.522
O 1.275 -0.862 5.445
O 1.189 4.155 2.672
O 3.405 1.229 6.475
O 1.176 4.651 5.446
O 3.405 3.100 8.665
O 0.801 -0.084 2.214
Ca 4.819 3.400 6.515
Ca 4.819 5.903 4.378
Ca 5.123 2.151 10.019
Ca 5.123 -0.256 7.200
Ca 5.123 9.559 3.692
Ca 5.064 7.078 8.288
Ca 0.022 0.000 0.000
Ca 5.123 7.152 0.874
Ca 5.064 2.225 2.605
Ga 2.587 -0.183 2.210
Ga 2.499 1.623 8.032
Ga 2.328 0.678 5.065
Ga 2.328 4.897 1.462
Ga 2.087 5.694 6.667
Ga 2.328 4.406 9.430
Ga 2.587 9.486 8.683
Ga 2.328 8.625 5.828
Ga 2.499 7.679 2.861
Ga 2.587 2.212 0.165
Ga 2.587 7.091 10.728
Ga 2.087 3.609 4.226
```

Output
Its uncorrected formation energy is -2.565 eV/atom. The space-group type is Cmm2. The value obtained for the density of states at the Fermi level is 0.0 states/eV per cell. The total energy is -574.49 eV per cell.

---

# 10
Material: Ca3Ga2Si3O12
Method: DFT, meta-GGA SCAN
State: single point on PBEsol structure

```
80
Lattice="10.383 0.000 0.000 -3.461 9.789 0.000 -3.461 -4.895 8.478" Properties=species:S:1:pos:R:3 pbc="T T T"
O -0.592 3.529 7.583
O 1.264 3.490 2.608
O -2.869 4.987 6.847
O 2.869 -3.436 7.742
O 1.667 6.724 5.134
O 5.658 -0.891 6.760
O -0.466 0.891 6.760
O 3.398 1.829 3.344
O 4.725 5.409 4.151
O -2.323 8.423 0.895
O -2.197 5.786 1.718
O 6.187 7.199 2.521
O 2.197 1.405 5.869
O 0.592 8.331 0.735
O 2.323 3.436 7.742
O 6.985 3.810 0.087
O 0.995 -1.416 7.495
O -1.794 1.981 3.256
O 5.128 5.979 0.087
O 1.138 1.458 0.735
O 6.330 -0.092 1.631
O 5.927 2.590 2.521
O 4.196 1.416 7.495
O -5.784 4.802 6.847
O 5.784 -3.529 7.583
O 5.255 2.914 5.222
O 2.995 -1.405 5.869
O 1.794 -1.829 3.344
O 9.245 0.092 1.631
O -3.524 1.084 8.390
O -2.466 2.305 5.957
O 4.053 1.366 0.895
O 6.456 0.514 4.326
O 0.735 0.888 3.504
O 0.466 6.300 2.608
O -1.264 -0.514 4.326
O -0.063 -2.914 5.222
O 3.927 4.004 1.718
O -0.995 5.783 4.974
O 2.466 6.311 0.983
O 4.456 -0.888 3.504
O 0.063 3.065 5.134
O -2.995 4.381 4.151
O 3.524 7.808 3.256
O 2.726 4.007 4.974
O -1.667 -1.084 8.390
O -2.726 -2.305 5.957
O -0.735 3.478 0.983
Ca 0.865 -0.612 5.299
Ca -0.865 4.283 3.179
Ca 4.326 0.612 5.299
Ca -2.596 0.000 6.358
Ca 4.326 7.954 1.060
Ca 2.596 5.506 3.179
Ca 6.057 4.895 2.119
Ca 7.787 1.835 1.060
Ca 2.596 0.000 2.119
Ca -4.326 3.059 7.418
Ca 0.865 4.895 6.358
Ca -0.865 -3.059 7.418
Si 4.326 2.447 2.119
Si -0.865 0.612 3.179
Si -0.865 2.447 6.358
Si -2.596 5.506 5.299
Si 6.057 -2.447 6.358
Si 2.596 1.835 7.418
Si 6.057 -0.612 3.179
Si 0.865 6.730 1.060
Si 2.596 -1.835 7.418
Si -2.596 7.342 2.119
Si 0.865 3.059 1.060
Si 4.326 4.283 5.299
Ga 5.192 0.000 0.000
Ga -1.731 -2.447 4.239
Ga -3.461 2.447 4.239
Ga 3.461 4.895 0.000
Ga 0.000 0.000 0.000
Ga 3.461 -2.447 4.239
Ga 1.731 2.447 4.239
Ga -1.731 4.895 0.000
```

Output
Its uncorrected formation energy is -3.010 eV/atom. The space-group type is Ia-3d. The value obtained for the density of states at the Fermi level is 0.0 states/eV per cell. The total energy is -906.82 eV per cell.

---

# 11
Material: CaGaOs3
Method: DFT, meta-GGA SCAN
State: single point on PBEsol structure

```
5
Lattice="4.563 0.000 0.000 0.000 4.563 0.000 0.000 0.000 4.563" Properties=species:S:1:pos:R:3 pbc="T T T"
Os 2.281 0.000 0.000
Os 0.000 0.000 2.281
Os 0.000 2.281 0.000
Ca 2.281 2.281 2.281
Ga 0.000 0.000 0.000
```

Output
The space-group type is Pm-3m. The value obtained for the density of states at the Fermi level is 3.7 states/eV per cell. The total energy is -234.88 eV per cell. As for the formation energy: 1.3530 eV/atom.

---

# 12
Material: Ca2GaP
Method: DFT, meta-GGA SCAN
State: single point on PBEsol structure

```
4
Lattice="5.002 0.000 0.000 2.501 4.332 0.000 2.501 1.444 4.084" Properties=species:S:1:pos:R:3 pbc="T T T"
P 0.000 0.000 0.000
Ga 5.002 2.888 2.042
Ca 2.501 1.444 1.021
Ca 7.503 4.332 3.063
```

Output
The space-group type is Fm-3m. The value obtained for the density of states at the Fermi level is 2.2 states/eV per cell. The total energy is -48.51 eV per cell. As for the formation energy: -0.6099 eV/atom.